Compound: MgZrOsPb
Source: OQMD via LeMat-Bulk
Functional: GGA-PBE
Structure: relaxed

As for the space group: F-43m (216). The final energy comes out at -98.3 eV for the cell shown.

Cell lengths 6.784, 6.784, 6.784 Å; angles 90.00, 90.00, 90.00 degrees
Fractional positions:
Mg 0.000 0.000 0.000
Mg 0.000 0.500 0.500
Mg 0.500 0.000 0.500
Mg 0.500 0.500 0.000
Zr 0.000 0.000 0.500
Zr 0.000 0.500 0.000
Zr 0.500 0.000 0.000
Zr 0.500 0.500 0.500
Os 0.250 0.250 0.750
Os 0.250 0.750 0.250
Os 0.750 0.250 0.250
Os 0.750 0.750 0.750
Pb 0.250 0.250 0.250
Pb 0.250 0.750 0.750
Pb 0.750 0.250 0.750
Pb 0.750 0.750 0.250